No. 1
A plane-wave DFT calculation with PBE was carried out for a relaxed LiLaSmSe3 crystal.

Cell lengths 8.636, 4.098, 8.984 Å; angles 90.00, 102.86, 90.00 degrees
Space group P2_1/m (No. 11)
Symmetry-distinct sites (fractional):
1 Li 0.087 0.250 0.085 (multiplicity 2)
2 La 0.184 0.250 0.724 (multiplicity 2)
3 Sm 0.336 0.750 0.338 (multiplicity 2)
4 Se 0.095 0.250 0.368 (multiplicity 2)
5 Se 0.214 0.750 0.999 (multiplicity 2)
6 Se 0.427 0.750 0.677 (multiplicity 2)

Properties
Formation energy without anion corrections: -10.472 eV/f.u.
Total magnetic moment: 0.00 Bohr magnetons per cell

---

No. 2
A plane-wave DFT calculation with PBE was carried out for a relaxed LiLa2SmSe5 crystal.

Cell lengths 4.234, 17.528, 12.627 Å; angles 90.00, 90.00, 90.00 degrees
Space group Cmc2_1 (No. 36)
Symmetry-distinct sites (fractional):
1 Li 0.000 0.015 0.000 (multiplicity 4)
2 La 0.000 0.377 0.818 (multiplicity 4)
3 La 0.000 0.391 0.204 (multiplicity 4)
4 Sm 0.000 0.303 0.521 (multiplicity 4)
5 Se 0.000 0.001 0.803 (multiplicity 4)
6 Se 0.000 0.137 0.518 (multiplicity 4)
7 Se 0.000 0.192 0.862 (multiplicity 4)
8 Se 0.000 0.212 0.182 (multiplicity 4)
9 Se 0.000 0.455 0.590 (multiplicity 4)

Properties
Formation energy without anion corrections: -16.592 eV/f.u.
Total magnetic moment: 0.00 Bohr magnetons per cell

---

No. 3
A plane-wave DFT calculation with PBE was carried out for a relaxed Li3LaSm2Se6 crystal.

Cell lengths 7.285, 12.625, 6.948 Å; angles 90.00, 110.38, 90.00 degrees
Space group C2/m (No. 12)
Symmetry-distinct sites (fractional):
1 Li 0.000 0.000 0.000 (multiplicity 2)
2 Li 0.000 0.330 0.000 (multiplicity 4)
3 La 0.000 0.500 0.500 (multiplicity 2)
4 Sm 0.000 0.166 0.500 (multiplicity 4)
5 Se 0.244 0.170 0.242 (multiplicity 8)
6 Se 0.246 0.000 0.759 (multiplicity 4)

Properties
Formation energy without anion corrections: -20.308 eV/f.u.
Total magnetic moment: 0.00 Bohr magnetons per cell

---

No. 4
A plane-wave DFT calculation with PBE was carried out for a relaxed LiLaSm2Se4 crystal.

Cell lengths 7.196, 4.180, 7.312 Å; angles 90.00, 109.34, 90.00 degrees
Space group P2/m (No. 10)
Symmetry-distinct sites (fractional):
1 Li 0.000 0.000 0.000 (multiplicity 1)
2 La 0.500 0.500 0.000 (multiplicity 1)
3 Sm 0.000 0.500 0.500 (multiplicity 1)
4 Sm 0.500 0.000 0.500 (multiplicity 1)
5 Se 0.239 0.000 0.749 (multiplicity 2)
6 Se 0.242 0.500 0.248 (multiplicity 2)

Properties
Formation energy without anion corrections: -14.372 eV/f.u.
Total magnetic moment: 0.00 Bohr magnetons per cell

---

No. 5
A plane-wave DFT calculation with PBE was carried out for a relaxed LiLa2Sm3Se6 crystal.

Cell lengths 7.252, 12.594, 7.314 Å; angles 90.00, 109.50, 90.00 degrees
Space group C2/m (No. 12)
Symmetry-distinct sites (fractional):
1 Li 0.000 0.000 0.000 (multiplicity 2)
2 La 0.000 0.335 0.000 (multiplicity 4)
3 Sm 0.000 0.168 0.500 (multiplicity 4)
4 Sm 0.000 0.500 0.500 (multiplicity 2)
5 Se 0.236 0.000 0.749 (multiplicity 4)
6 Se 0.244 0.161 0.251 (multiplicity 8)

Properties
Formation energy without anion corrections: -22.037 eV/f.u.
Total magnetic moment: 0.00 Bohr magnetons per cell

---

No. 6
A plane-wave DFT calculation with PBE was carried out for a relaxed LiLa2SnSe5 crystal.

Cell lengths 4.231, 17.725, 12.249 Å; angles 90.00, 90.00, 90.00 degrees
Space group Cmc2_1 (No. 36)
Symmetry-distinct sites (fractional):
1 Li 0.000 0.011 0.000 (multiplicity 4)
2 La 0.000 0.381 0.813 (multiplicity 4)
3 La 0.000 0.390 0.200 (multiplicity 4)
4 Sn 0.000 0.304 0.516 (multiplicity 4)
5 Se 0.000 0.005 0.798 (multiplicity 4)
6 Se 0.000 0.139 0.512 (multiplicity 4)
7 Se 0.000 0.204 0.851 (multiplicity 4)
8 Se 0.000 0.216 0.178 (multiplicity 4)
9 Se 0.000 0.453 0.580 (multiplicity 4)

Properties
Formation energy without anion corrections: -12.617 eV/f.u.
Total magnetic moment: 0.00 Bohr magnetons per cell

---

No. 7
A plane-wave DFT calculation with PBE was carried out for a relaxed Li2LaSnSe crystal.

Cell lengths 4.831, 4.831, 6.969 Å; angles 90.00, 90.00, 90.00 degrees
Space group P4/mmm (No. 123)
Symmetry-distinct sites (fractional):
1 Li 0.000 0.500 0.000 (multiplicity 2)
2 La 0.000 0.000 0.500 (multiplicity 1)
3 Sn 0.500 0.500 0.500 (multiplicity 1)
4 Se 0.500 0.500 0.000 (multiplicity 1)

Properties
Formation energy without anion corrections: -2.254 eV/f.u.
Total magnetic moment: 0.47 Bohr magnetons per cell

---

No. 8
A plane-wave DFT calculation with PBE was carried out for a relaxed SrLiLaSe3 crystal.

Cell lengths 8.933, 4.283, 9.127 Å; angles 90.00, 100.53, 90.00 degrees
Space group P2_1/m (No. 11)
Symmetry-distinct sites (fractional):
1 Sr 0.173 0.250 0.226 (multiplicity 2)
2 Li 0.083 0.250 0.584 (multiplicity 2)
3 La 0.336 0.750 0.824 (multiplicity 2)
4 Se 0.109 0.250 0.865 (multiplicity 2)
5 Se 0.203 0.750 0.500 (multiplicity 2)
6 Se 0.424 0.750 0.165 (multiplicity 2)

Properties
Formation energy without anion corrections: -10.942 eV/f.u.
Total magnetic moment: 0.00 Bohr magnetons per cell